Entry 1
# TcNi2 | the Alexandria database | SCAN | single point on PBEsol structure
data_TcNi2
_chemical_formula_sum 'Tc4 Ni8'
_cell_length_a 2.526
_cell_length_b 13.335
_cell_length_c 4.094
_cell_angle_alpha 90.00
_cell_angle_beta 90.00
_cell_angle_gamma 90.00
_symmetry_space_group_name_H-M 'C m c m'
_symmetry_Int_Tables_number 63
_symmetry_space_group_name_Hall '-C 2c 2'
loop_
_atom_site_label
_atom_site_fract_x
_atom_site_fract_y
_atom_site_fract_z
_atom_site_occupancy
Tc1 0.000 0.114 0.250 1
Ni1 0.000 0.220 0.750 1
Ni2 0.000 0.448 0.250 1
# - DOS at the Fermi energy: 0.998 states/eV per atom

Entry 2
# TcNi2 | the Alexandria database | SCAN | single point on PBEsol structure
data_TcNi2
_chemical_formula_sum 'Tc1 Ni2'
_cell_length_a 4.0020
_cell_length_b 4.0020
_cell_length_c 2.4707
_cell_angle_alpha 90.00
_cell_angle_beta 90.00
_cell_angle_gamma 120.00
_symmetry_space_group_name_H-M 'P 6/m m m'
_symmetry_Int_Tables_number 191
_symmetry_space_group_name_Hall '-P 6 2'
loop_
_atom_site_label
_atom_site_fract_x
_atom_site_fract_y
_atom_site_fract_z
_atom_site_occupancy
Tc1 0.0000 0.0000 0.0000 1
Ni1 0.3333 0.6667 0.5000 1
# - DOS at the Fermi energy: 0.529 states/eV per atom

Best to worst by energy: entry 2, entry 1.

Entry 1
# ReIr3 | the Alexandria database | SCAN | single point on PBEsol structure
data_ReIr3
_chemical_formula_sum 'Re3 Ir9'
_cell_length_a 2.7107
_cell_length_b 2.7107
_cell_length_c 26.6878
_cell_angle_alpha 90.00
_cell_angle_beta 90.00
_cell_angle_gamma 120.00
_symmetry_space_group_name_H-M 'R -3 m'
_symmetry_Int_Tables_number 166
_symmetry_space_group_name_Hall '-R 3 2"'
loop_
_atom_site_label
_atom_site_fract_x
_atom_site_fract_y
_atom_site_fract_z
_atom_site_occupancy
Re1 0.0000 0.0000 0.0000 1
Ir1 0.0000 0.0000 0.2511 1
Ir2 0.0000 0.0000 0.5000 1
# - DOS at the Fermi energy: 0.744 states/eV per atom

Entry 2
# ReIr3 | the Alexandria database | SCAN | single point on PBEsol structure
data_ReIr3
_chemical_formula_sum 'Re2 Ir6'
_cell_length_a 9.022
_cell_length_b 2.705
_cell_length_c 4.701
_cell_angle_alpha 90.00
_cell_angle_beta 99.90
_cell_angle_gamma 90.00
_symmetry_space_group_name_H-M 'C 1 2/m 1'
_symmetry_Int_Tables_number 12
_symmetry_space_group_name_Hall '-C 2y'
loop_
_atom_site_label
_atom_site_fract_x
_atom_site_fract_y
_atom_site_fract_z
_atom_site_occupancy
Re1 0.000 0.000 0.000 1
Ir1 0.000 0.500 0.500 1
Ir2 0.248 0.500 0.248 1
# - DOS at the Fermi energy: 0.806 states/eV per atom

Best to worst by energy: entry 2, entry 1.

Entry 1
# MgZnCd2 | the Alexandria database | SCAN | single point on PBEsol structure
data_MgZnCd2
_chemical_formula_sum 'Mg2 Zn2 Cd4'
_cell_length_a 4.230
_cell_length_b 4.230
_cell_length_c 8.578
_cell_angle_alpha 90.00
_cell_angle_beta 90.00
_cell_angle_gamma 90.00
_symmetry_space_group_name_H-M 'I 4/m m m'
_symmetry_Int_Tables_number 139
_symmetry_space_group_name_Hall '-I 4 2'
loop_
_atom_site_label
_atom_site_fract_x
_atom_site_fract_y
_atom_site_fract_z
_atom_site_occupancy
Mg1 0.000 0.000 0.000 1
Zn1 0.000 0.000 0.500 1
Cd1 0.000 0.500 0.250 1
# - DOS at the Fermi energy: 0.275 states/eV per atom

Entry 2
# MgZnCd2 | the Alexandria database | SCAN | single point on PBEsol structure
data_MgZnCd2
_chemical_formula_sum 'Mg2 Zn2 Cd4'
_cell_length_a 9.535
_cell_length_b 3.100
_cell_length_c 5.354
_cell_angle_alpha 90.00
_cell_angle_beta 101.78
_cell_angle_gamma 90.00
_symmetry_space_group_name_H-M 'C 1 2/m 1'
_symmetry_Int_Tables_number 12
_symmetry_space_group_name_Hall '-C 2y'
loop_
_atom_site_label
_atom_site_fract_x
_atom_site_fract_y
_atom_site_fract_z
_atom_site_occupancy
Mg1 0.000 0.000 0.000 1
Zn1 0.000 0.500 0.500 1
Cd1 0.244 0.000 0.741 1
# - DOS at the Fermi energy: 0.306 states/eV per atom

Best to worst by energy: entry 1, entry 2.

Entry 1
# SrLiY2 | the Alexandria database | SCAN | single point on PBEsol structure
data_SrLiY2
_chemical_formula_sum 'Sr2 Li2 Y4'
_cell_length_a 4.020
_cell_length_b 5.660
_cell_length_c 11.251
_cell_angle_alpha 90.00
_cell_angle_beta 90.00
_cell_angle_gamma 90.00
_symmetry_space_group_name_H-M 'C m m m'
_symmetry_Int_Tables_number 65
_symmetry_space_group_name_Hall '-C 2 2'
loop_
_atom_site_label
_atom_site_fract_x
_atom_site_fract_y
_atom_site_fract_z
_atom_site_occupancy
Sr1 0.000 0.000 0.000 1
Li1 0.000 0.000 0.500 1
Y1 0.000 0.500 0.277 1
# - DOS at the Fermi energy: 0.823 states/eV per atom

Entry 2
# SrLiY2 | the Alexandria database | SCAN | single point on PBEsol structure
data_SrLiY2
_chemical_formula_sum 'Sr2 Li2 Y4'
_cell_length_a 3.723
_cell_length_b 5.686
_cell_length_c 12.069
_cell_angle_alpha 90.00
_cell_angle_beta 90.00
_cell_angle_gamma 90.00
_symmetry_space_group_name_H-M 'I m m m'
_symmetry_Int_Tables_number 71
_symmetry_space_group_name_Hall '-I 2 2'
loop_
_atom_site_label
_atom_site_fract_x
_atom_site_fract_y
_atom_site_fract_z
_atom_site_occupancy
Sr1 0.000 0.000 0.000 1
Li1 0.000 0.000 0.500 1
Y1 0.000 0.500 0.224 1
# - DOS at the Fermi energy: 1.257 states/eV per atom

Best to worst by energy: entry 2, entry 1.

Entry 1
# Ag5Hg | the Alexandria database | SCAN | single point on PBEsol structure
data_Ag5Hg
_chemical_formula_sum 'Ag5 Hg1'
_cell_length_a 5.3632
_cell_length_b 5.3632
_cell_length_c 4.6506
_cell_angle_alpha 90.00
_cell_angle_beta 90.00
_cell_angle_gamma 120.00
_symmetry_space_group_name_H-M 'P 6/m m m'
_symmetry_Int_Tables_number 191
_symmetry_space_group_name_Hall '-P 6 2'
loop_
_atom_site_label
_atom_site_fract_x
_atom_site_fract_y
_atom_site_fract_z
_atom_site_occupancy
Ag1 0.0000 0.5000 0.0000 1
Ag2 0.3333 0.6667 0.5000 1
Hg1 0.0000 0.0000 0.5000 1
# - DOS at the Fermi energy: 0.262 states/eV per atom

Entry 2
# Ag5Hg | the Alexandria database | SCAN | single point on PBEsol structure
data_Ag5Hg
_chemical_formula_sum 'Ag10 Hg2'
_cell_length_a 4.709
_cell_length_b 2.977
_cell_length_c 14.756
_cell_angle_alpha 90.00
_cell_angle_beta 90.00
_cell_angle_gamma 90.00
_symmetry_space_group_name_H-M 'A m m 2'
_symmetry_Int_Tables_number 38
_symmetry_space_group_name_Hall 'A 2 -2'
loop_
_atom_site_label
_atom_site_fract_x
_atom_site_fract_y
_atom_site_fract_z
_atom_site_occupancy
Ag1 0.000 0.000 0.000 1
Ag2 0.000 0.000 0.329 1
Ag3 0.000 0.000 0.664 1
Ag4 0.500 0.000 0.212 1
Ag5 0.500 0.000 0.551 1
Hg1 0.500 0.000 0.882 1
# - DOS at the Fermi energy: 0.246 states/eV per atom

Best to worst by energy: entry 2, entry 1.

Entry 1
# AgPt2Au | the Alexandria database | SCAN | single point on PBEsol structure
data_AgPt2Au
_chemical_formula_sum 'Ag1 Pt2 Au1'
_cell_length_a 2.779
_cell_length_b 4.748
_cell_length_c 4.805
_cell_angle_alpha 90.00
_cell_angle_beta 90.00
_cell_angle_gamma 90.00
_symmetry_space_group_name_H-M 'P m m m'
_symmetry_Int_Tables_number 47
_symmetry_space_group_name_Hall '-P 2 2'
loop_
_atom_site_label
_atom_site_fract_x
_atom_site_fract_y
_atom_site_fract_z
_atom_site_occupancy
Ag1 0.000 0.000 0.000 1
Pt1 0.000 0.500 0.500 1
Pt2 0.500 0.000 0.500 1
Au1 0.500 0.500 0.000 1
# - DOS at the Fermi energy: 0.498 states/eV per atom

Entry 2
# AgPt2Au | the Alexandria database | SCAN | single point on PBEsol structure
data_AgPt2Au
_chemical_formula_sum 'Ag2 Pt4 Au2'
_cell_length_a 2.776
_cell_length_b 4.747
_cell_length_c 9.633
_cell_angle_alpha 90.00
_cell_angle_beta 90.00
_cell_angle_gamma 90.00
_symmetry_space_group_name_H-M 'I m m m'
_symmetry_Int_Tables_number 71
_symmetry_space_group_name_Hall '-I 2 2'
loop_
_atom_site_label
_atom_site_fract_x
_atom_site_fract_y
_atom_site_fract_z
_atom_site_occupancy
Ag1 0.000 0.000 0.000 1
Pt1 0.000 0.500 0.249 1
Au1 0.000 0.000 0.500 1
# - DOS at the Fermi energy: 0.527 states/eV per atom

Best to worst by energy: entry 1, entry 2.

Entry 1
# CuRh2Cl | the Alexandria database | SCAN | single point on PBEsol structure
data_CuRh2Cl
_chemical_formula_sum 'Cu1 Rh2 Cl1'
_cell_length_a 2.738
_cell_length_b 4.273
_cell_length_c 4.743
_cell_angle_alpha 90.00
_cell_angle_beta 90.00
_cell_angle_gamma 90.00
_symmetry_space_group_name_H-M 'P m m m'
_symmetry_Int_Tables_number 47
_symmetry_space_group_name_Hall '-P 2 2'
loop_
_atom_site_label
_atom_site_fract_x
_atom_site_fract_y
_atom_site_fract_z
_atom_site_occupancy
Cu1 0.000 0.000 0.000 1
Rh1 0.000 0.500 0.500 1
Rh2 0.500 0.500 0.000 1
Cl1 0.500 0.000 0.500 1
# - DOS at the Fermi energy: 0.983 states/eV per atom

Entry 2
# CuRh2Cl | the Alexandria database | SCAN | single point on PBEsol structure
data_CuRh2Cl
_chemical_formula_sum 'Cu2 Rh4 Cl2'
_cell_length_a 2.756
_cell_length_b 4.874
_cell_length_c 8.339
_cell_angle_alpha 90.00
_cell_angle_beta 90.00
_cell_angle_gamma 90.00
_symmetry_space_group_name_H-M 'C m m 2'
_symmetry_Int_Tables_number 35
_symmetry_space_group_name_Hall 'C 2 -2'
loop_
_atom_site_label
_atom_site_fract_x
_atom_site_fract_y
_atom_site_fract_z
_atom_site_occupancy
Cu1 0.000 0.000 0.000 1
Rh1 0.000 0.000 0.513 1
Rh2 0.000 0.500 0.253 1
Cl1 0.000 0.500 0.765 1
# - DOS at the Fermi energy: 0.999 states/eV per atom

Best to worst by energy: entry 2, entry 1.

Entry 1
## Ca2SnS4 (SCAN)

Data for a PBEsol-optimized structure of Ca2SnS4.

```
data_Ca2SnS4
_chemical_formula_sum 'Ca4 Sn2 S8'
_cell_length_a 7.039
_cell_length_b 11.240
_cell_length_c 3.925
_cell_angle_alpha 90.00
_cell_angle_beta 90.00
_cell_angle_gamma 90.00
_symmetry_space_group_name_H-M 'P b a m'
_symmetry_Int_Tables_number 55
_symmetry_space_group_name_Hall '-P 2 2ab'
loop_
_atom_site_label
_atom_site_fract_x
_atom_site_fract_y
_atom_site_fract_z
_atom_site_occupancy
Ca1 0.094 0.184 0.000 1
Sn1 0.000 0.500 0.500 1
S1 0.127 0.706 0.500 1
S2 0.235 0.447 0.000 1
```

Entry 2
## Ca2SnS4 (SCAN)

Data for a PBEsol-optimized structure of Ca2SnS4.

```
data_Ca2SnS4
_chemical_formula_sum 'Ca4 Sn2 S8'
_cell_length_a 12.868
_cell_length_b 3.776
_cell_length_c 7.570
_cell_angle_alpha 90.00
_cell_angle_beta 121.19
_cell_angle_gamma 90.00
_symmetry_space_group_name_H-M 'C 1 2/m 1'
_symmetry_Int_Tables_number 12
_symmetry_space_group_name_Hall '-C 2y'
loop_
_atom_site_label
_atom_site_fract_x
_atom_site_fract_y
_atom_site_fract_z
_atom_site_occupancy
Ca1 0.149 0.000 0.196 1
Sn1 0.000 0.500 0.500 1
S1 0.035 0.500 0.853 1
S2 0.164 0.000 0.588 1
```

Best to worst by energy: entry 1, entry 2.